Record 1
A plane-wave DFT calculation with PBE-GGA was carried out for a relaxed Ba3DyTe4 crystal.

Output
DFT total energy in eV/cell: -71.8
Total moment in μB per cell: 0.000
Density of states at the Fermi level in states/eV/cell: 3.599
Crystal system: monoclinic
Calculated volume in Å³ per atom: 39.63

Unit cell a=8.4114 b=9.6602 c=8.2843 alpha=90.00 beta=109.63 gamma=90.00
Last column: nearest neighbours and their distance in Å.
Space group P2/c (No. 13)
Inequivalent atoms, fractional coordinates:
Ba (0.0000, 0.1230, 0.2500) (multiplicity 2)  6 Te 3.41-3.63
Ba (0.0000, 0.3756, 0.7500) (multiplicity 2)  6 Te 3.41-3.65
Ba (0.5000, 0.3749, 0.2500) (multiplicity 2)  6 Te 3.42-3.44
Dy (0.5000, 0.1221, 0.7500) (multiplicity 2)  6 Te 3.19-3.20
Te (0.2654, 0.3560, 0.5180) (multiplicity 4)  1 Dy 3.19, 4 Ba 3.41-3.44
Te (0.2796, 0.1110, 0.9980) (multiplicity 4)  2 Dy 3.20, 2 Ba 3.41-3.42



Record 2
A plane-wave DFT calculation with PBE-GGA was carried out for a relaxed Ba5DyTe6 crystal.

Output
DFT total energy in eV/cell: -106.4
Total moment in μB per cell: 0.000
Density of states at the Fermi level in states/eV/cell: 6.126
Crystal system: monoclinic
Calculated volume in Å³ per atom: 41.03

Unit cell a=8.4611 b=14.6326 c=8.4437 alpha=90.00 beta=109.61 gamma=90.00
Last column: nearest neighbours and their distance in Å.
Space group C2/m (No. 12)
Inequivalent atoms, fractional coordinates:
Ba (0.0000, 0.0000, 0.0000) (multiplicity 2)  6 Te 3.45-3.70
Ba (0.0000, 0.1650, 0.5000) (multiplicity 4)  6 Te 3.47-3.48
Ba (0.0000, 0.3273, 0.0000) (multiplicity 4)  6 Te 3.46-3.64
Dy (0.0000, 0.5000, 0.5000) (multiplicity 2)  6 Te 3.20-3.21
Te (0.2268, 0.5000, 0.2627) (multiplicity 4)  1 Dy 3.21, 4 Ba 3.48
Te (0.2314, 0.3457, 0.7329) (multiplicity 8)  1 Dy 3.20, 4 Ba 3.45-3.48



Record 3
A plane-wave DFT calculation with PBE-GGA was carried out for a relaxed Ba3DyTm3Te8 crystal.

Output
DFT total energy in eV/cell: -214.3
Total moment in μB per cell: 0.000
Density of states at the Fermi level in states/eV/cell: 11.826
Crystal system: trigonal
Calculated volume in Å³ per atom: 36.66

Unit cell a=8.9264 b=8.9264 c=23.9088 alpha=90.00 beta=90.00 gamma=120.00
Last column: nearest neighbours and their distance in Å.
Space group R-3m (No. 166, hexagonal axes)
Inequivalent atoms, fractional coordinates:
Ba (0.0000, 0.5000, 0.0000) (multiplicity 9)  6 Te 3.45-3.46
Dy (0.0000, 0.0000, 0.5000) (multiplicity 3)  6 Te 3.14
Tm (0.0000, 0.5000, 0.5000) (multiplicity 9)  6 Te 3.07-3.08
Te (0.0000, 0.0000, 0.2374) (multiplicity 6)  3 Tm 3.08, 3 Ba 3.45
Te (0.0075, 0.5037, 0.7619) (multiplicity 18)  2 Tm 3.07, 1 Dy 3.14



Record 4
A plane-wave DFT calculation with PBE-GGA was carried out for a relaxed Ba3Dy3YTe8 crystal.

Output
DFT total energy in eV/cell: -222.7
Total moment in μB per cell: 0.000
Density of states at the Fermi level in states/eV/cell: 12.162
Crystal system: trigonal
Calculated volume in Å³ per atom: 37.32

Unit cell a=8.9934 b=8.9934 c=23.9726 alpha=90.00 beta=90.00 gamma=120.00
Last column: nearest neighbours and their distance in Å.
Space group R-3m (No. 166, hexagonal axes)
Inequivalent atoms, fractional coordinates:
Ba (0.0000, 0.5000, 0.0000) (multiplicity 9)  6 Te 3.45-3.46
Dy (0.0000, 0.5000, 0.5000) (multiplicity 9)  6 Te 3.10-3.12
Y (0.0000, 0.0000, 0.5000) (multiplicity 3)  6 Te 3.15
Te (0.0000, 0.0000, 0.2386) (multiplicity 6)  3 Dy 3.12, 3 Ba 3.45
Te (0.0045, 0.5023, 0.7614) (multiplicity 18)  2 Dy 3.10, 1 Y 3.15, 2 Ba 3.46



Record 5
A plane-wave DFT calculation with PBE-GGA was carried out for a relaxed Ba3Dy2YTe6 crystal.

Output
DFT total energy in eV/cell: -117.1
Total moment in μB per cell: 0.000
Density of states at the Fermi level in states/eV/cell: 10.873
Crystal system: monoclinic
Calculated volume in Å³ per atom: 35.50

Unit cell a=7.9346 b=13.7189 c=8.2604 alpha=90.00 beta=108.66 gamma=90.00
Last column: nearest neighbours and their distance in Å.
Space group C2/m (No. 12)
Inequivalent atoms, fractional coordinates:
Ba (0.0000, 0.0000, 0.0000) (multiplicity 2)  6 Te 3.46
Ba (0.0000, 0.3336, 0.0000) (multiplicity 4)  6 Te 3.46
Dy (0.0000, 0.1667, 0.5000) (multiplicity 4)  6 Te 3.13
Y (0.0000, 0.5000, 0.5000) (multiplicity 2)  6 Te 3.14
Te (0.2377, 0.0000, 0.7149) (multiplicity 4)  2 Dy 3.13, 1 Y 3.14, 3 Ba 3.46
Te (0.2386, 0.3330, 0.7151) (multiplicity 8)  2 Dy 3.13, 1 Y 3.14, 3 Ba 3.46



Record 6
A plane-wave DFT calculation with PBE-GGA was carried out for a relaxed BaDy2Th crystal.

Output
DFT total energy in eV/cell: -18.1
Total moment in μB per cell: 0.000
Density of states at the Fermi level in states/eV/cell: 4.988
E above lowest polymorph in meV per atom: 0.0
Crystal system: tetragonal
Calculated volume in Å³ per atom: 36.88

Unit cell a=3.6792 b=3.6792 c=10.8970 alpha=90.00 beta=90.00 gamma=90.00
Last column: nearest neighbours and their distance in Å.
Space group P4/mmm (No. 123)
Inequivalent atoms, fractional coordinates:
Ba (0.0000, 0.0000, 0.0000) (multiplicity 1)  4 Ba 3.68, 8 Dy 4.09
Dy (0.5000, 0.5000, 0.2894) (multiplicity 2)  4 Th 3.47, 4 Dy 3.68
Th (0.0000, 0.0000, 0.5000) (multiplicity 1)  8 Dy 3.47, 4 Th 3.68



Record 7
A plane-wave DFT calculation with PBE-GGA was carried out for a relaxed BaDy2Th crystal.

Output
DFT total energy in eV/cell: -53.2
Total moment in μB per cell: 0.001
Density of states at the Fermi level in states/eV/cell: 17.046
E above lowest polymorph in meV per atom: 83.0
Crystal system: trigonal
Calculated volume in Å³ per atom: 36.35

Unit cell a=3.6278 b=3.6278 c=38.2694 alpha=90.00 beta=90.00 gamma=120.00
Last column: nearest neighbours and their distance in Å.
Space group R-3m (No. 166, hexagonal axes)
Inequivalent atoms, fractional coordinates:
Ba (0.0000, 0.0000, 0.0000) (multiplicity 3)  6 Ba 3.63, 2 Dy 3.63
Dy (0.0000, 0.0000, 0.0949) (multiplicity 6)  3 Th 3.45, 6 Dy 3.63, 1 Ba 3.63
Th (0.0000, 0.0000, 0.5000) (multiplicity 3)  6 Dy 3.45, 6 Th 3.63



Record 8
A plane-wave DFT calculation with PBE-GGA was carried out for a relaxed Ba3DyTl4 crystal.

Output
DFT total energy in eV/cell: -22.8
Total moment in μB per cell: 0.000
Density of states at the Fermi level in states/eV/cell: 6.632
Crystal system: tetragonal
Calculated volume in Å³ per atom: 36.06

Unit cell a=4.1143 b=4.1143 c=17.0409 alpha=90.00 beta=90.00 gamma=90.00
Last column: nearest neighbours and their distance in Å.
Space group P4/mmm (No. 123)
Inequivalent atoms, fractional coordinates:
Ba (0.0000, 0.0000, 0.0000) (multiplicity 1)  8 Tl 3.64
Ba (0.0000, 0.0000, 0.2635) (multiplicity 2)  8 Tl 3.71-3.74, 1 Dy 4.03, 4 Ba 4.11
Dy (0.0000, 0.0000, 0.5000) (multiplicity 1)  8 Tl 3.36
Tl (0.5000, 0.5000, 0.1282) (multiplicity 2)  8 Ba 3.64-3.71
Tl (0.5000, 0.5000, 0.4015) (multiplicity 2)  1 Tl 3.36, 4 Dy 3.36, 4 Ba 3.74



Record 9
A plane-wave DFT calculation with PBE-GGA was carried out for a relaxed BaDyTl crystal.

Output
DFT total energy in eV/cell: -19.5
Total moment in μB per cell: 0.006
Density of states at the Fermi level in states/eV/cell: 2.936
E above lowest polymorph in meV per atom: 0.0
Crystal system: tetragonal
Calculated volume in Å³ per atom: 38.23

Unit cell a=5.2612 b=5.2612 c=8.2867 alpha=90.00 beta=90.00 gamma=90.00
Last column: nearest neighbours and their distance in Å.
Space group P4/nmm (No. 129, origin choice 2)
Inequivalent atoms, fractional coordinates:
Ba (0.2500, 0.2500, 0.1396) (multiplicity 2)  5 Tl 3.52-3.91
Dy (0.2500, 0.7500, 0.5000) (multiplicity 2)  4 Tl 3.18
Tl (0.2500, 0.2500, 0.7146) (multiplicity 2)  4 Dy 3.18, 1 Ba 3.52



Record 10
A plane-wave DFT calculation with PBE-GGA was carried out for a relaxed BaDyTl6 crystal.

Output
DFT total energy in eV/cell: -22.6
Total moment in μB per cell: 0.000
Density of states at the Fermi level in states/eV/cell: 3.870
Crystal system: tetragonal
Calculated volume in Å³ per atom: 30.29

Unit cell a=4.9537 b=4.9537 c=9.8755 alpha=90.00 beta=90.00 gamma=90.00
Last column: nearest neighbours and their distance in Å.
Space group P4/mmm (No. 123)
Inequivalent atoms, fractional coordinates:
Ba (0.0000, 0.0000, 0.0000) (multiplicity 1)  12 Tl 3.50-3.61
Dy (0.0000, 0.0000, 0.5000) (multiplicity 1)  12 Tl 3.38-3.50
Tl (0.0000, 0.5000, 0.2664) (multiplicity 4)  8 Tl 3.38-3.61, 2 Dy 3.38, 2 Ba 3.61
Tl (0.5000, 0.5000, 0.0000) (multiplicity 1)  4 Ba 3.50, 8 Tl 3.61
Tl (0.5000, 0.5000, 0.5000) (multiplicity 1)  8 Tl 3.38, 4 Dy 3.50